! Ba2NiAs2O6 (PBE with a Hubbard U, optimized geometry); values from VASP
&SYSTEM
  ibrav = 0, nat = 11, ntyp = 4
/
ATOMIC_SPECIES
Ba 137.33 Ba.upf
Ni 58.69 Ni.upf
As 74.92 As.upf
O 16.00 O.upf
CELL_PARAMETERS angstrom
-0.668 -0.166 5.997
4.250 -2.558 3.440
3.781 3.958 3.569
ATOMIC_POSITIONS angstrom
Ba 5.288 0.484 9.716
Ba 2.075 0.750 3.290
Ni 0.000 0.000 0.000
As 4.267 1.718 6.598
As 3.096 -0.484 6.407
O 3.671 -1.088 8.077
O 4.028 -0.999 4.874
O 1.401 0.279 6.240
O 5.962 0.955 6.766
O 3.335 2.232 8.132
O 3.692 2.321 4.929
! * uncorrected energy: -5.67 eV per atom
! * total magnetization: 0.81 μB/f.u.
! * N(E_F): 3.510 states/eV/f.u.